(1)
{"formula": "Pu4AgPt2", "functional": "PBE", "state": "optimized geometry", "formation_energy_mev_per_atom": -308.4, "energy_ev_per_atom": -10.631, "total_magnetization_mub_per_cell": 23.2, "lattice": [[-0.0960, 3.7432, -2.3925], [2.9462, -2.9000, -4.6556], [-6.0143, -0.9739, -1.2823]], "species": ["Pu", "Pu", "Pu", "Pt", "Ag", "Pu", "Pt"], "fractional_positions": [[0.0000, 0.7919, 0.7919], [0.5000, 0.0000, 0.5000], [0.5000, 0.5000, 0.0000], [0.0000, 0.7267, 0.2733], [0.5000, 0.5000, 0.5000], [0.0000, 0.2081, 0.2081], [0.0000, 0.2733, 0.7267]]}

---

(2)
{"formula": "TmPuC", "functional": "PBE", "state": "optimized geometry", "formation_energy_mev_per_atom": 74.0, "energy_ev_per_atom": -9.268, "total_magnetization_mub_per_cell": 0.0, "lattice": [[-0.6197, 2.1673, -2.4973], [-0.1382, -2.5413, -2.1713], [-9.4358, -2.1185, 0.5030]], "species": ["Pu", "Pu", "C", "C", "Tm", "Tm"], "fractional_positions": [[0.2500, 0.7250, 0.5500], [0.7500, 0.2750, 0.4500], [0.7500, 0.3837, 0.2327], [0.2500, 0.6163, 0.7673], [0.2500, 0.9045, 0.1909], [0.7500, 0.0955, 0.8091]]}

---

(3)
{"formula": "TbPuIr", "functional": "PBE", "state": "optimized geometry", "formation_energy_mev_per_atom": -364.1, "energy_ev_per_atom": -9.638, "total_magnetization_mub_per_cell": 5.8, "lattice": [[-1.8351, 2.7364, 1.1825], [-2.9441, -1.8815, -0.2151], [3.1830, -2.3068, 5.0964]], "species": ["Ir", "Pu", "Tb"], "fractional_positions": [[0.6683, 0.6683, 0.3366], [0.3019, 0.3019, 0.6038], [0.0298, 0.0298, 0.0596]]}

---

(4)
{"formula": "BaLi4Ca5", "functional": "PBE", "state": "optimized geometry", "formation_energy_mev_per_atom": 24.7, "energy_ev_per_atom": -1.934, "total_magnetization_mub_per_cell": 0.0, "lattice": [[-3.6439, 1.1744, 1.2375], [-0.5516, -3.5728, 1.7662], [8.7673, 7.7653, 18.4467]], "species": ["Ca", "Ca", "Ba", "Ca", "Ca", "Li", "Li", "Li", "Ca", "Li"], "fractional_positions": [[0.5000, 0.5000, 0.5000], [0.5000, 0.5000, 0.6788], [0.0000, 0.0000, 0.0000], [0.5000, 0.5000, 0.8563], [0.5000, 0.5000, 0.1437], [0.0000, 0.0000, 0.5896], [0.0000, 0.0000, 0.7673], [0.0000, 0.0000, 0.2327], [0.5000, 0.5000, 0.3212], [0.0000, 0.0000, 0.4104]]}

---

(5)
{"formula": "KGaB2F", "functional": "PBE", "state": "optimized geometry", "energy_ev_per_atom": -2.798, "total_magnetization_mub_per_cell": 0.0, "lattice": [[4.4386, 0.0000, 0.0000], [0.0000, 4.4386, 0.0000], [0.0000, 0.0000, 4.6444]], "species": ["B", "F", "B", "K", "Ga"], "fractional_positions": [[0.0000, 0.5000, 0.0000], [0.0000, 0.0000, 0.0000], [0.5000, 0.0000, 0.0000], [0.0000, 0.0000, 0.5000], [0.5000, 0.5000, 0.5000]]}

---

(6)
{"formula": "Cs2SrZrBr6", "functional": "PBE", "state": "optimized geometry", "energy_ev_per_atom": -3.802, "total_magnetization_mub_per_cell": 2.0, "lattice": [[8.1814, 0.0000, 0.0000], [0.0000, 8.1814, 0.0000], [4.0907, 4.0907, 5.7848]], "species": ["Cs", "Zr", "Br", "Br", "Br", "Br", "Br", "Br", "Sr", "Cs"], "fractional_positions": [[0.2500, 0.7500, 0.5000], [0.0000, 0.0000, 0.0000], [0.7596, 0.7596, 0.4808], [0.2404, 0.2404, 0.0000], [0.7596, 0.2404, 0.0000], [0.2404, 0.7596, 0.0000], [0.2404, 0.2404, 0.5192], [0.7596, 0.7596, 0.0000], [0.5000, 0.5000, 0.0000], [0.7500, 0.2500, 0.5000]]}

---

(7)
{"formula": "Fe2SiPt", "functional": "PBE", "state": "optimized geometry", "energy_ev_per_atom": -7.197, "total_magnetization_mub_per_cell": 4.5, "lattice": [[8.0317, -0.0413, -0.0243], [7.5679, 2.6901, -0.0243], [7.5679, 1.2850, 2.3634]], "species": ["Fe", "Si", "Fe", "Pt"], "fractional_positions": [[0.2567, 0.2567, 0.2567], [0.7443, 0.7443, 0.7443], [0.0023, 0.0023, 0.0023], [0.4968, 0.4968, 0.4968]]}

---

(8)
{"formula": "Rb2AgH2F6", "functional": "PBE", "state": "optimized geometry", "energy_ev_per_atom": -3.815, "total_magnetization_mub_per_cell": 1.0, "lattice": [[-4.3283, -1.8283, 2.9991], [-0.7905, -5.4729, 0.7029], [1.5946, -2.2872, 6.0871]], "species": ["Ag", "F", "Rb", "F", "F", "H", "H", "F", "Rb", "F", "F"], "fractional_positions": [[0.0000, 0.0000, 0.0000], [0.3054, 0.7338, 0.2270], [0.2236, 0.2236, 0.3293], [0.6946, 0.2662, 0.7730], [0.7338, 0.7338, 0.2270], [0.5926, 0.5926, 0.2222], [0.4074, 0.4074, 0.7778], [0.2662, 0.2662, 0.7730], [0.7764, 0.7764, 0.6707], [0.2662, 0.6946, 0.7730], [0.7338, 0.3054, 0.2270]]}